A relaxed structure of La2SnSe, computed with PBE-GGA.

Results
D(E_F) = 2.487 states/eV per cell
Formation energy without anion corrections = -483 kJ/mol of formula units

Lattice parameters (Å, degrees): 3.6637 3.6637 8.3116 90.00 90.00 90.00
Element x y z (fractional)
La: 0.0000 0.0000 0.2302
La: 0.0000 0.0000 0.7698
Sn: 0.5000 0.5000 0.5000
Se: 0.5000 0.5000 0.0000